# TlWO3, optimized geometry, DFT PBE+U
# Energy in eV/atom: -6.374
# Fermi-level density of states in states/eV/atom: 0.19
# Calculated volume in Å³ per cell: 66.02
# Magnetic moment in μB/atom: 0.200
# SG: Pm-3m
data_TlWO3
_chemical_formula_sum 'Tl1 W1 O3'
_space_group_name_H-M_alt 'P 1'
_space_group_IT_number 1
_cell_length_a 4.0417
_cell_length_b 4.0417
_cell_length_c 4.0417
_cell_angle_alpha 90.00
_cell_angle_beta 90.00
_cell_angle_gamma 90.00
loop_
_space_group_symop_operation_xyz
'x,y,z'
loop_
_atom_site_label
_atom_site_type_symbol
_atom_site_fract_x
_atom_site_fract_y
_atom_site_fract_z
Tl1 Tl 0.0000 0.0000 0.0000
W1 W 0.5000 0.5000 0.5000
O1 O 0.0000 0.5000 0.5000
O2 O 0.5000 0.0000 0.5000
O3 O 0.5000 0.5000 0.0000